Entry 1:
A plane-wave DFT calculation with PBE was carried out for a relaxed structure of Na4Cd4Hg.

extended XYZ file:
```
9
Lattice="-3.799 1.005 4.121 -0.399 -8.332 -2.270 3.121 -3.084 3.629" Properties=species:S:1:pos:R:3 pbc="T T T"
Cd 1.446 -6.002 4.319
Cd 1.709 -5.197 1.319
Cd -3.994 -4.021 2.756
Cd -1.315 -5.604 2.565
Na -0.120 -8.552 3.492
Na 0.142 -7.750 0.503
Na -2.422 -1.471 3.577
Na 0.247 -3.048 3.387
Hg 0.000 0.000 0.000
```

Values from the calculation:
- Formation enthalpy at 0 K: -0.03 eV per atom

Entry 2:
A plane-wave DFT calculation with PBE was carried out for a relaxed structure of Tl12TeS5.

extended XYZ file:
```
18
Lattice="-2.200 3.376 6.271 -5.382 -3.037 4.177 7.924 -5.294 8.565" Properties=species:S:1:pos:R:3 pbc="T T T"
S -5.056 0.225 6.966
S -2.526 0.114 3.482
S 0.351 -0.828 10.897
S 2.862 -0.959 7.418
S -0.009 -4.127 8.116
Tl 4.776 -5.510 9.183
Tl 0.694 -2.277 5.892
Tl 0.989 1.011 8.652
Tl -1.832 -2.163 9.374
Tl 2.174 -2.792 9.639
Tl 4.736 -2.929 6.184
Tl 5.328 -2.258 11.662
Tl -2.159 0.164 6.409
Tl -4.986 -2.697 7.351
Tl -4.434 0.555 9.830
Tl -0.352 -2.678 13.121
Tl 2.502 -5.119 12.604
Te 0.000 0.000 0.000
```

Values from the calculation:
- Energy relative to the elements, uncorrected: -0.33 eV per atom

Entry 3:
A plane-wave DFT calculation with PBE was carried out for a relaxed structure of YTlHg2H.

extended XYZ file:
```
5
Lattice="-2.915 -3.755 -1.627 3.187 -2.734 0.600 -1.580 -0.810 4.700" Properties=species:S:1:pos:R:3 pbc="T T T"
Hg -1.457 -1.877 -0.814
Hg -0.790 -0.405 2.350
Tl -0.654 -3.649 1.836
H 0.000 0.000 0.000
Y 1.593 -1.367 0.300
```

Values from the calculation:
- Total DFT energy (no corrections): -2.743 eV per atom

Entry 4:
A plane-wave DFT calculation with PBE was carried out for a relaxed structure of CsScCd3.

extended XYZ file:
```
5
Lattice="-4.820 1.154 3.112 -3.216 -2.982 -3.875 0.822 -4.901 3.090" Properties=species:S:1:pos:R:3 pbc="T T T"
Sc 0.000 0.000 0.000
Cd 0.411 -2.451 1.545
Cd -1.608 -1.491 -1.937
Cd -2.410 0.577 1.556
Cs -3.607 -3.365 1.164
```

Values from the calculation:
- Formation enthalpy at 0 K: 0.25 eV per atom

Entry 5:
A plane-wave DFT calculation with PBE was carried out for a relaxed structure of CsLiTe2.

extended XYZ file:
```
4
Lattice="10.299 0.001 0.001 9.566 3.817 0.001 9.566 1.838 3.345" Properties=species:S:1:pos:R:3 pbc="T T T"
Te 6.826 1.312 0.776
Te 22.605 4.344 2.570
Li 14.716 2.828 1.673
Cs 0.000 0.000 0.000
```

Values from the calculation:
- Energy relative to the elements, uncorrected: -0.47 eV per atom

Entry 6:
A plane-wave DFT calculation with PBE was carried out for a relaxed structure of LiSc2Pa.

extended XYZ file:
```
4
Lattice="-1.150 -1.092 2.651 -2.531 -1.771 -0.028 5.176 -10.089 -0.109" Properties=species:S:1:pos:R:3 pbc="T T T"
Sc -1.982 -5.286 2.362
Sc 3.477 -7.665 0.152
Li 0.748 -6.476 1.257
Pa 0.000 0.000 0.000
```

Values from the calculation:
- Formation enthalpy at 0 K: 0.27 eV per atom

Entry 7:
A plane-wave DFT calculation with PBE was carried out for a relaxed structure of LaZnPt.

extended XYZ file:
```
18
Lattice="4.330 0.000 -0.855 -0.535 7.613 -2.711 0.110 -0.042 11.954" Properties=species:S:1:pos:R:3 pbc="T T T"
Pt -0.073 7.106 -0.369
Pt 2.293 3.211 0.219
Pt 0.961 3.016 4.868
Pt 1.778 1.998 9.010
Pt 3.613 5.649 6.910
Pt 2.793 6.701 2.756
La -0.285 4.057 -1.445
La 1.063 6.651 5.387
La 2.798 1.537 2.781
La 0.455 4.676 2.305
La 3.511 2.037 6.389
La 1.657 7.230 -3.003
Zn 3.111 4.498 4.366
Zn 2.247 5.883 -0.014
Zn 0.991 0.274 5.019
Zn 1.482 4.200 7.507
Zn 0.163 1.762 0.826
Zn 4.096 0.769 9.357
```

Values from the calculation:
- Formation enthalpy at 0 K: -0.89 eV per atom

Entry 8:
A plane-wave DFT calculation with PBE was carried out for a relaxed structure of BaSrAsBr.

extended XYZ file:
```
4
Lattice="5.622 0.000 0.000 2.811 4.869 0.000 2.811 1.623 4.590" Properties=species:S:1:pos:R:3 pbc="T T T"
As 8.433 4.869 3.443
Ba 0.000 0.000 0.000
Br 2.811 1.623 1.148
Sr 5.622 3.246 2.295
```

Values from the calculation:
- Energy relative to the elements, uncorrected: -1.41 eV per atom